1.
First-principles (GGA+U) data for a geometry-optimized CsCaCo2F8 structure, as listed in Alexandria.

The value obtained for the density of states at the Fermi level is 1.290 states/eV/atom. As for the space group: P-3.

a b c (Å): 5.867 5.867 8.417
angles (deg): 90.00 90.00 120.00
Fractional coordinates of all 12 atoms:
1 Cs 0.000 0.000 0.000
2 Ca 0.000 0.000 0.500
3 Co 0.333 0.667 0.746
4 Co 0.667 0.333 0.254
5 F 0.087 0.332 0.670
6 F 0.245 0.913 0.670
7 F 0.332 0.245 0.330
8 F 0.333 0.667 0.963
9 F 0.667 0.333 0.037
10 F 0.668 0.755 0.670
11 F 0.755 0.087 0.330
12 F 0.913 0.668 0.330



2.
First-principles (GGA+U) data for a geometry-optimized CsCa2CoF8 structure, as listed in Alexandria.

As for the space group: P-1.

a b c (Å): 5.356 5.361 7.177
angles (deg): 68.70 86.23 79.30
Fractional coordinates of all 12 atoms:
1 Cs 0.000 0.000 0.000
2 Ca 0.466 0.386 0.279
3 Ca 0.534 0.614 0.721
4 Co 0.000 0.000 0.500
5 F 0.046 0.292 0.272
6 F 0.270 0.711 0.427
7 F 0.277 0.058 0.609
8 F 0.447 0.282 0.993
9 F 0.553 0.718 0.007
10 F 0.723 0.942 0.391
11 F 0.730 0.289 0.573
12 F 0.954 0.708 0.728



Number 1: uncorrected energy -4.9043 eV/atom. Number 2: uncorrected energy -5.0655 eV/atom.